DFT (GGA-PBE) results for a geometry-optimized YMgP2Cl structure.

The calculation puts the density of states at the Fermi level at 4.11 states/eV/cell. The value obtained for the excess energy over the best structure of this formula in the dataset is 217.4 meV/atom. The value obtained for the raw total energy is -0.1589 Ha/atom. Its formation energy from raw total energies is -0.178 eV per atom.

The space group is P4/mmm (No. 123) and the conventional cell measures 5.3181, 5.3181 and 5.1318 Å, with angles of 90.00, 90.00 and 90.00 degrees. The distinct sites, in fractional coordinates, are Y at (0.0000, 0.0000, 0.0000), Mg at (0.5000, 0.5000, 0.5000), P at (0.0000, 0.5000, 0.0000) and Cl at (0.0000, 0.0000, 0.5000).